Here is a geometry-optimized ZnFe2Br structure from the Alexandria database. Energies are from PBE.

Lattice parameters (Å, degrees): 4.921 4.921 4.921 133.64 133.64 67.65
Fractional coordinates of all 4 atoms:
Zn  0.250  0.750  0.500
Fe  0.000  0.000  0.000
Br  0.750  0.250  0.500
Fe  0.500  0.500  0.000

Output
- offset from the most stable computed form (eV per formula unit) = 1.907
- crystal system = tetragonal
- ΔE_f (raw) (eV per atom) = 0.7210
- DOS(E_F) (states/eV/cell) = 5.11
- electronic total energy (eV per atom) = -4.247
- volume (A^3/atom) = 15.34



Here is a geometry-optimized HoZr2PaP4 structure from the Alexandria database. Energies are from PBE.

Lattice parameters (Å, degrees): 3.864 6.665 6.671 70.50 90.00 90.00
Fractional coordinates of all 8 atoms:
Pa  0.500  0.500  0.000
Zr  0.500  0.000  0.500
P  0.000  0.238  0.254
Ho  0.000  0.500  0.500
P  0.500  0.761  0.245
P  0.000  0.762  0.746
P  0.500  0.239  0.755
Zr  0.000  0.000  0.000

Output
- crystal system = monoclinic
- DOS(E_F) (states/eV/cell) = 4.81
- DFT formation energy (eV per atom) = -1.429
- electronic total energy (eV per atom) = -8.031
- volume (A^3/atom) = 20.24